(a)
## BaMnTc2 (GGA-PBE)

Data for a relaxed BaMnTc2 crystal.

Lattice parameters (Å, degrees): 3.1791 3.1840 8.2306 90.00 90.10 90.00
Atoms (fractional coordinates):
Ba  0.0000  0.0000  0.0000
Mn  0.5016  0.5000  0.6606
Tc  0.0014  0.0000  0.4720
Tc  0.5006  0.5000  0.3171

Calculated values
Total magnetic moment   4.19 Bohr magnetons per cell


(b)
## BaMnTc2 (GGA-PBE)

Data for a relaxed BaMnTc2 crystal.

Lattice parameters (Å, degrees): 4.7508 4.7508 4.7508 60.00 60.00 60.00
Atoms (fractional coordinates):
Ba  0.0000  0.0000  0.0000
Mn  0.2500  0.2500  0.2500
Tc  0.5000  0.5000  0.5000
Tc  0.7500  0.7500  0.7500

Calculated values
Total magnetic moment   2.64 Bohr magnetons per cell


(c)
## BaMnTc2 (GGA-PBE)

Data for a relaxed BaMnTc2 crystal.

Lattice parameters (Å, degrees): 5.8269 5.8269 5.8269 150.95 127.25 61.35
Atoms (fractional coordinates):
Ba  0.0000  0.0000  0.0000
Mn  0.5000  0.5000  0.0000
Tc  0.2881  0.7881  0.5000
Tc  0.7119  0.2119  0.5000

Calculated values
Total magnetic moment   2.11 Bohr magnetons per cell


Tell me which of them is the least stable. Sure, it is (b).


(a)
## BaMnTc2 (GGA-PBE)

Data for a relaxed BaMnTc2 crystal.

Lattice parameters (Å, degrees): 4.3004 4.3004 6.6147 108.90 108.90 59.97
Atoms (fractional coordinates):
Ba  0.0000  0.0000  0.0000
Mn  0.1951  0.1951  0.5870
Tc  0.4856  0.4856  0.4584
Tc  0.8048  0.8048  0.4158

Calculated values
Total magnetic moment   3.25 Bohr magnetons per cell


(b)
## BaMnTc2 (GGA-PBE)

Data for a relaxed BaMnTc2 crystal.

Lattice parameters (Å, degrees): 3.1548 4.8227 4.9611 90.00 90.00 90.00
Atoms (fractional coordinates):
Ba  0.0000  0.0000  0.0000
Mn  0.5000  0.0000  0.5000
Tc  0.0000  0.5000  0.5000
Tc  0.5000  0.5000  0.0000

Calculated values
Total magnetic moment   2.79 Bohr magnetons per cell


Tell me which of them is the least stable. Sure, it is (b).


(a)
## BaMnTc2 (GGA-PBE)

Data for a relaxed BaMnTc2 crystal.

Lattice parameters (Å, degrees): 5.9473 5.9473 5.9473 148.92 124.77 64.74
Atoms (fractional coordinates):
Ba  0.0000  0.0000  0.0000
Mn  0.3019  0.8019  0.5000
Tc  0.5278  0.5278  0.0000
Tc  0.7054  0.2054  0.5000

Calculated values
Total magnetic moment   3.12 Bohr magnetons per cell


(b)
## BaMnTc2 (GGA-PBE)

Data for a relaxed BaMnTc2 crystal.

Lattice parameters (Å, degrees): 5.7588 5.7588 2.8289 90.00 90.00 123.34
Atoms (fractional coordinates):
Ba  0.0000  0.0000  0.0000
Mn  0.5000  0.5000  0.0000
Tc  0.0000  0.5000  0.5000
Tc  0.5000  0.0000  0.5000

Calculated values
Total magnetic moment   3.90 Bohr magnetons per cell


Tell me which of them is the least stable. Sure, it is (b).